No. 1
Dy2Sc2CBrF4: relaxed, PBE-GGA.

For the total energy, the calculation gives -0.474 Ry/atom. The total magnetic moment comes out at 0.0 μB per formula unit.

It has space group C2/m (No. 12), with a = 13.970 Å, b = 3.436 Å, c = 7.993 Å, α = 90.00°, β = 111.27° and γ = 90.00°. The asymmetric unit holds Dy at (0.010, 0.000, 0.211), Sc at (0.166, 0.500, 0.096), C at (0.000, 0.500, 0.000), Br at (0.000, 0.500, 0.500), F at (0.174, 0.000, 0.912) and F at (0.193, 0.000, 0.272).

---

No. 2
ErZnAsO: relaxed, PBE-GGA.

For the total energy, the calculation gives -0.418 Ry/atom. The total magnetic moment comes out at 0.0 μB per formula unit.

It has space group P4/nmm (No. 129, origin choice 2), with a = 3.919 Å, b = 3.919 Å, c = 8.844 Å, α = 90.00°, β = 90.00° and γ = 90.00°. The asymmetric unit holds Er at (0.250, 0.250, 0.121), Zn at (0.250, 0.750, 0.500), As at (0.250, 0.250, 0.685) and O at (0.250, 0.750, 0.000).

---

No. 3
Zn4Re3: relaxed, PBE-GGA.

For the total energy, the calculation gives -0.430 Ry/atom. For the formation energy, the calculation gives 0.20 eV per atom. The total magnetic moment comes out at 0.0 μB per formula unit.

It has space group P6_3/m (No. 176), with a = 7.3167 Å, b = 7.3167 Å, c = 4.3589 Å, α = 90.00°, β = 90.00° and γ = 120.00°. The asymmetric unit holds Zn at (0.0400, 0.2298, 0.2500), Zn at (0.3333, 0.6667, 0.2500) and Re at (0.0932, 0.4959, 0.7500).

---

No. 4
NdDyCN2O2: relaxed, PBE-GGA.

For the total energy, the calculation gives -0.630 Ry/atom. The total magnetic moment comes out at 0.0 μB per formula unit.

It has space group P3m1 (No. 156), with a = 3.7953 Å, b = 3.7953 Å, c = 8.2266 Å, α = 90.00°, β = 90.00° and γ = 120.00°. The asymmetric unit holds Nd at (0.0000, 0.0000, 0.0000), Dy at (0.6667, 0.3333, 0.6419), C at (0.3333, 0.6667, 0.3237), N at (0.3333, 0.6667, 0.1732), N at (0.3333, 0.6667, 0.4737), O at (0.0000, 0.0000, 0.7095) and O at (0.6667, 0.3333, 0.9154).

---

No. 5
SmHoPt: relaxed, PBE-GGA.

For the total energy, the calculation gives -0.380 Ry/atom. For the formation energy, the calculation gives -0.06 eV per atom. The total magnetic moment comes out at 0.0 μB per formula unit.

It has space group F-43m (No. 216), with a = 6.776 Å, b = 6.776 Å, c = 6.776 Å, α = 90.00°, β = 90.00° and γ = 90.00°. The asymmetric unit holds Sm at (0.000, 0.000, 0.000), Ho at (0.250, 0.250, 0.750) and Pt at (0.250, 0.250, 0.250).

---

No. 6
ThI2: relaxed, PBE-GGA.

For the total energy, the calculation gives -0.267 Ry/atom. The total magnetic moment comes out at 2.0 μB per formula unit.

It has space group Fd-3m (No. 227, origin choice 2), with a = 14.167 Å, b = 14.167 Å, c = 14.167 Å, α = 90.00°, β = 90.00° and γ = 90.00°. The asymmetric unit holds Th at (0.125, 0.125, 0.125) and I at (0.000, 0.000, 0.000).